A plane-wave DFT calculation with GGA-PBEsol was carried out for a relaxed structure of ZnNi2AuCl.

Output
- volume (Å³ per cell) = 105.7
- space-group type = No. 123
- uncorrected formation energy (eV per atom) = 0.936
- Fermi-level density of states (states/eV per atom) = 2.4354

a = 4.716 Å, b = 4.716 Å, c = 4.752 Å
α = 90.00°, β = 90.00°, γ = 90.00°
Each line ends with the local moment (μB).
Atoms (fractional coordinates):
Ni: 0.000 0.500 0.000  0.72
Ni: 0.500 0.000 0.000  0.72
Zn: 0.000 0.000 0.500  0.02
Au: 0.000 0.000 0.000  0.01
Cl: 0.500 0.500 0.500  0.05



A plane-wave DFT calculation with GGA-PBEsol was carried out for a relaxed structure of ScCd2Si.

Output
- volume (Å³ per cell) = 77.6
- space-group type = No. 71
- uncorrected formation energy (eV per atom) = -0.215
- Fermi-level density of states (states/eV per atom) = 0.5625

a = 3.262 Å, b = 4.505 Å, c = 5.971 Å
α = 112.16°, β = 105.85°, γ = 90.00°
Atoms (fractional coordinates):
Cd: 0.778 0.778 0.556
Cd: 0.222 0.222 0.444
Sc: 0.000 0.500 0.000
Si: 0.500 0.000 0.000



A plane-wave DFT calculation with GGA-PBEsol was carried out for a relaxed structure of SbRu3Pb.

Output
- volume (Å³ per cell) = 108.6
- space-group type = No. 221
- uncorrected formation energy (eV per atom) = 1.529
- Fermi-level density of states (states/eV per atom) = 2.0120

a = 4.771 Å, b = 4.771 Å, c = 4.771 Å
α = 90.00°, β = 90.00°, γ = 90.00°
Atoms (fractional coordinates):
Pb: 0.500 0.500 0.500
Sb: 0.000 0.000 0.000
Ru: 0.000 0.500 0.000
Ru: 0.000 0.000 0.500
Ru: 0.500 0.000 0.000



A plane-wave DFT calculation with GGA-PBEsol was carried out for a relaxed structure of LuWO4.

Output
- volume (Å³ per cell) = 137.6
- space-group type = No. 13
- uncorrected formation energy (eV per atom) = -2.741
- Fermi-level density of states (states/eV per atom) = 0.3074

a = 5.011 Å, b = 5.163 Å, c = 5.361 Å
α = 90.00°, β = 90.00°, γ = 97.27°
Each line ends with the local moment (μB).
Atoms (fractional coordinates):
Lu: 0.500 0.750 0.733  0.05
Lu: 0.500 0.250 0.267  0.05
W: 0.000 0.750 0.195  0.77
W: 0.000 0.250 0.805  0.77
O: 0.765 0.494 0.936  0.00
O: 0.765 0.994 0.064  0.00
O: 0.740 0.604 0.421  0.02
O: 0.740 0.104 0.579  0.02
O: 0.260 0.896 0.421  0.02
O: 0.260 0.396 0.579  0.02
O: 0.235 0.006 0.936  0.00
O: 0.235 0.506 0.064  0.00



A plane-wave DFT calculation with GGA-PBEsol was carried out for a relaxed structure of Mn3MoP.

Output
- volume (Å³ per cell) = 87.9
- space-group type = No. 221
- calculated formation energy (kJ/mol of atoms) = 155.5
- Fermi-level density of states (states/eV per atom) = 0.9768

a = 4.447 Å, b = 4.447 Å, c = 4.447 Å
α = 90.00°, β = 90.00°, γ = 90.00°
Each line ends with the local moment (μB).
Atoms (fractional coordinates):
P: 0.500 0.500 0.500  -0.08
Mo: 0.000 0.000 0.000  -0.97
Mn: 0.000 0.500 0.000  2.67
Mn: 0.000 0.000 0.500  2.67
Mn: 0.500 0.000 0.000  2.67



A plane-wave DFT calculation with GGA-PBEsol was carried out for a relaxed structure of Ni6P7O24.

Output
- volume (Å³ per cell) = 809.7
- space-group type = No. 11
- uncorrected formation energy (eV per atom) = -1.642
- Fermi-level density of states (states/eV per atom) = 0.4845

a = 5.185 Å, b = 6.255 Å, c = 26.133 Å
α = 90.00°, β = 90.00°, γ = 107.18°
Each line ends with the local moment (μB).
Atoms (fractional coordinates):
Ni: 0.173 0.095 0.099  1.68
Ni: 0.149 0.263 0.814  1.73
Ni: 0.766 0.308 0.445  1.64
Ni: 0.766 0.308 0.055  1.64
Ni: 0.827 0.905 0.901  1.68
Ni: 0.149 0.263 0.686  1.73
Ni: 0.851 0.737 0.314  1.73
Ni: 0.851 0.737 0.186  1.73
Ni: 0.234 0.692 0.555  1.64
Ni: 0.827 0.905 0.599  1.68
Ni: 0.173 0.095 0.401  1.68
Ni: 0.234 0.692 0.945  1.64
P: 0.706 0.367 0.892  0.02
P: 0.706 0.367 0.608  0.02
P: 0.274 0.795 0.831  0.01
P: 0.313 0.204 0.525  0.01
P: 0.583 0.098 0.750  0.01
P: 0.726 0.205 0.331  0.01
P: 0.294 0.633 0.108  0.02
P: 0.687 0.796 0.025  0.01
P: 0.726 0.205 0.169  0.01
P: 0.687 0.796 0.475  0.01
P: 0.294 0.633 0.392  0.02
P: 0.274 0.795 0.669  0.01
P: 0.313 0.204 0.975  0.01
P: 0.417 0.902 0.250  0.01
O: 0.115 0.794 0.250  0.09
O: 0.885 0.206 0.750  0.09
O: 0.610 0.759 0.250  0.09
O: 0.600 0.268 0.553  0.01
O: 0.430 0.790 0.881  0.16
O: 0.886 0.605 0.905  0.12
O: 0.921 0.061 0.335  0.13
O: 0.858 0.018 0.450  0.12
O: 0.881 0.219 0.875  0.12
O: 0.608 0.833 0.530  0.12
O: 0.079 0.939 0.835  0.13
O: 0.119 0.781 0.375  0.12
O: 0.921 0.061 0.165  0.13
O: 0.183 0.390 0.969  0.07
O: 0.475 0.361 0.857  0.07
O: 0.079 0.939 0.665  0.13
O: 0.527 0.937 0.703  0.02
O: 0.525 0.639 0.143  0.07
O: 0.473 0.063 0.297  0.02
O: 0.390 0.241 0.750  0.09
O: 0.852 0.427 0.194  0.08
O: 0.570 0.210 0.119  0.16
O: 0.817 0.610 0.031  0.07
O: 0.473 0.063 0.203  0.02
O: 0.527 0.937 0.797  0.02
O: 0.142 0.982 0.550  0.12
O: 0.392 0.167 0.030  0.12
O: 0.852 0.427 0.306  0.08
O: 0.475 0.361 0.643  0.07
O: 0.183 0.390 0.531  0.07
O: 0.119 0.781 0.125  0.12
O: 0.430 0.790 0.619  0.16
O: 0.142 0.982 0.950  0.12
O: 0.600 0.268 0.947  0.01
O: 0.114 0.395 0.405  0.12
O: 0.392 0.167 0.470  0.12
O: 0.817 0.610 0.469  0.07
O: 0.525 0.639 0.357  0.07
O: 0.148 0.573 0.806  0.08
O: 0.881 0.219 0.625  0.12
O: 0.400 0.732 0.053  0.01
O: 0.858 0.018 0.050  0.12
O: 0.608 0.833 0.970  0.12
O: 0.148 0.573 0.694  0.08
O: 0.570 0.210 0.381  0.16
O: 0.400 0.732 0.447  0.01
O: 0.886 0.605 0.595  0.12
O: 0.114 0.395 0.095  0.12